(1)
PBE K2ScRhF, relaxed; formation energy without anion corrections = -0.4843 eV/atom; energy = -0.1483 hartree per atom
1.0
4.7417 0.0000 0.0000
0.0000 5.0843 0.0000
0.0000 0.0000 4.7417
Sc K Rh F
1 2 1 1
Cartesian
0.0000 2.5422 0.0000
0.0000 0.0000 2.3708
2.3708 0.0000 0.0000
2.3708 2.5422 2.3708
0.0000 0.0000 0.0000

(2)
PBE KTlRhF6, relaxed; formation energy without anion corrections = -1.9570 eV/atom; energy = -0.1619 hartree per atom
1.0
-3.7073 -5.0085 -0.5468
2.4818 -5.6202 -1.1754
0.4228 -0.8625 5.0229
K Tl Rh F
1 1 1 6
Cartesian
-0.8028 -11.4906 3.2986
-0.6057 -7.5152 1.3596
-0.1969 -3.9744 1.9383
0.6658 -2.4608 1.0093
-0.7400 -2.6760 3.3230
-1.0938 -5.4634 2.8744
1.5190 -4.3384 2.8442
0.3849 -5.2549 0.5528
-1.9175 -3.6525 1.0253

(3)
PBE K2TlRh3F12, relaxed; formation energy without anion corrections = -1.8768 eV/atom; energy = -0.1692 hartree per atom
1.0
-0.2283 6.0548 4.6671
-5.4551 5.3274 -0.5963
-5.4523 0.7773 5.3069
K Tl Rh F
2 1 3 12
Cartesian
-7.0156 7.6605 5.9081
-4.1202 4.4990 3.4698
0.0000 0.0000 0.0000
-0.1142 3.0274 2.3336
-2.7276 2.6637 -0.2981
-2.7261 0.3886 2.6535
-6.3576 3.8847 5.7765
-7.4012 10.2423 5.9342
-9.5818 8.0393 6.2012
-3.2720 7.0019 5.3986
-7.4000 8.3430 8.3984
-6.3593 6.5722 2.2897
-4.7782 8.2748 3.6013
-3.7346 1.9172 3.4437
-1.5539 4.1202 3.1766
-7.8637 5.1576 3.9792
-3.7358 3.8166 0.9795
-4.7765 5.5873 7.0881

(4)
PBE KTl2RhF8, relaxed; formation energy without anion corrections = -1.8693 eV/atom; energy = -0.1549 hartree per atom
1.0
-0.3264 3.8961 -2.9301
-5.5572 -0.9596 -0.1042
-0.8865 4.4695 6.0408
K Tl Rh F
1 2 1 8
Cartesian
-0.4432 2.2348 3.0204
-3.6156 4.8669 3.0766
-3.1544 2.5391 -0.0701
0.0000 0.0000 0.0000
-4.5290 0.5115 0.7635
-5.5821 6.2325 4.0482
-1.6921 4.1269 -1.4958
-2.2410 6.8945 2.2430
-1.1879 1.1735 -1.0417
-5.0780 3.2791 4.5023
-4.6820 3.6544 1.3494
-2.0880 3.7517 1.6571